Record 1
SCAN BeINO2, single point on PBEsol structure; uncorrected formation energy = 100 kJ per mole of atoms; calculated total energy = -11.54 eV/atom; magnetic moment = 0.00 μB/f.u.; V = 66.13 Å³ per cell; symmetry = P4/mmm, No. 123
1.0
3.961 0.000 0.000
0.000 3.961 0.000
0.000 0.000 4.214
I Be O N
1 1 2 1
Direct
0.000 0.000 0.000 I
0.500 0.500 0.500 Be
0.000 0.500 0.000 O
0.500 0.000 0.000 O
0.000 0.000 0.500 N

Record 2
SCAN BeI2NO, single point on PBEsol structure; uncorrected formation energy = 73 kJ per mole of atoms; calculated total energy = -17.91 eV/atom; magnetic moment = 3.84 μB/f.u.; V = 91.46 Å³ per cell; symmetry = P4/mmm, No. 123
1.0
3.072 0.000 0.000
0.000 5.457 0.000
0.000 0.000 5.457
I Be O N
2 1 1 1
Direct
0.000 0.000 0.500 I
0.000 0.500 0.000 I
0.000 0.000 0.000 Be
0.500 0.500 0.500 O
0.500 0.000 0.000 N

Record 3
SCAN BeReI2N, single point on PBEsol structure; uncorrected formation energy = 126 kJ per mole of atoms; calculated total energy = -30.34 eV/atom; magnetic moment = 2.46 μB/f.u.; V = 83.64 Å³ per cell; symmetry = P4/mmm, No. 123
1.0
-0.937 1.748 -2.413
3.849 -1.913 -2.880
-3.090 -3.838 -1.581
I Re Be N
2 1 1 1
Direct
0.000 0.000 0.500 I
0.000 0.500 0.000 I
0.500 0.500 0.500 Re
0.000 0.000 0.000 Be
0.500 0.000 0.000 N

Record 4
SCAN BeReIN2, single point on PBEsol structure; uncorrected formation energy = 200 kJ per mole of atoms; calculated total energy = -24.08 eV/atom; magnetic moment = 0.41 μB/f.u.; V = 64.54 Å³ per cell; symmetry = P4/mmm, No. 123
1.0
3.700 0.000 0.000
0.000 3.700 0.000
0.000 0.000 4.714
I Re Be N
1 1 1 2
Direct
0.000 0.000 0.500 I
0.500 0.500 0.500 Re
0.000 0.000 0.000 Be
0.000 0.500 0.000 N
0.500 0.000 0.000 N

Record 5
SCAN BeS2IN, single point on PBEsol structure; uncorrected formation energy = 160 kJ per mole of atoms; calculated total energy = -12.27 eV/atom; magnetic moment = 0.00 μB/f.u.; V = 99.35 Å³ per cell; symmetry = P4/mmm, No. 123
1.0
-3.579 1.094 0.931
0.184 -2.925 4.144
1.881 3.890 2.663
I Be S N
1 1 2 1
Direct
0.000 0.000 0.000 I
0.500 0.500 0.500 Be
0.000 0.000 0.500 S
0.000 0.500 0.000 S
0.500 0.000 0.000 N

Record 6
SCAN TaBeI2N, single point on PBEsol structure; uncorrected formation energy = 53 kJ per mole of atoms; calculated total energy = -30.19 eV/atom; magnetic moment = 0.00 μB/f.u.; V = 120.28 Å³ per cell; symmetry = P4/mmm, No. 123
1.0
3.884 0.000 0.000
0.000 5.565 0.000
0.000 0.000 5.565
I Be N Ta
2 1 1 1
Direct
0.000 0.000 0.500 I
0.000 0.500 0.000 I
0.500 0.500 0.500 Be
0.500 0.000 0.000 N
0.000 0.000 0.000 Ta

Record 7
SCAN BeTlIN2, single point on PBEsol structure; uncorrected formation energy = 194 kJ per mole of atoms; calculated total energy = -24.40 eV/atom; magnetic moment = 2.44 μB/f.u.; V = 119.67 Å³ per cell; symmetry = P4/mmm, No. 123
1.0
-2.787 3.032 0.392
-3.016 -2.814 0.323
0.850 -0.116 6.938
I Be Tl N
1 1 1 2
Direct
0.000 0.000 0.500 I
0.500 0.500 0.500 Be
0.000 0.000 0.000 Tl
0.000 0.500 0.000 N
0.500 0.000 0.000 N

Record 8
SCAN Y2BeIN, single point on PBEsol structure; uncorrected formation energy = -60 kJ per mole of atoms; calculated total energy = -21.84 eV/atom; magnetic moment = 0.00 μB/f.u.; V = 88.81 Å³ per cell; symmetry = P4/mmm, No. 123
1.0
-0.977 -3.073 -1.148
3.334 0.371 -3.834
3.566 -2.212 2.887
I Y Be N
1 2 1 1
Direct
0.500 0.500 0.500 I
0.000 0.000 0.500 Y
0.000 0.500 0.000 Y
0.500 0.000 0.000 Be
0.000 0.000 0.000 N

Record 9
SCAN BeZnI2N, single point on PBEsol structure; uncorrected formation energy = 39 kJ per mole of atoms; calculated total energy = -19.73 eV/atom; magnetic moment = 1.64 μB/f.u.; V = 110.38 Å³ per cell; symmetry = P4/mmm, No. 123
1.0
3.072 0.000 0.000
0.000 5.994 0.000
0.000 0.000 5.994
I Be Zn N
2 1 1 1
Direct
0.000 0.000 0.500 I
0.000 0.500 0.000 I
0.000 0.000 0.000 Be
0.500 0.500 0.500 Zn
0.500 0.000 0.000 N

Record 10
SCAN ZrBeI2N, single point on PBEsol structure; uncorrected formation energy = 19 kJ per mole of atoms; calculated total energy = -23.37 eV/atom; magnetic moment = 0.63 μB/f.u.; V = 132.81 Å³ per cell; symmetry = P4/mmm, No. 123
1.0
3.937 0.000 0.000
0.000 5.808 0.000
0.000 0.000 5.808
I Be Zr N
2 1 1 1
Direct
0.000 0.000 0.500 I
0.000 0.500 0.000 I
0.500 0.500 0.500 Be
0.000 0.000 0.000 Zr
0.500 0.000 0.000 N

Record 11
SCAN ZrBeIN2, single point on PBEsol structure; uncorrected formation energy = 99 kJ per mole of atoms; calculated total energy = -17.05 eV/atom; magnetic moment = 0.00 μB/f.u.; V = 69.16 Å³ per cell; symmetry = P4/mmm, No. 123
1.0
3.860 0.000 0.000
0.000 3.860 0.000
0.000 0.000 4.642
I Be Zr N
1 1 1 2
Direct
0.000 0.000 0.500 I
0.000 0.000 0.000 Be
0.500 0.500 0.500 Zr
0.000 0.500 0.000 N
0.500 0.000 0.000 N

Record 12
SCAN Na3BeI, single point on PBEsol structure; uncorrected formation energy = 22 kJ per mole of atoms; calculated total energy = -10.52 eV/atom; magnetic moment = 0.17 μB/f.u.; V = 160.70 Å³ per cell; symmetry = Pm-3m, No. 221
1.0
-4.760 -2.412 1.039
-0.448 -1.373 -5.242
2.588 -4.675 1.003
I Na Be
1 3 1
Direct
0.500 0.500 0.500 I
0.000 0.500 0.000 Na
0.000 0.000 0.500 Na
0.500 0.000 0.000 Na
0.000 0.000 0.000 Be

> Which value of uncorrected formation energy does entry 5 give?

160 kJ per mole of atoms

> The highest V belongs to which entry?

Na3BeI

> Which of these has the highest V?

Na3BeI